Record 1
A geometry-optimized Hf2UPt structure, computed with GGA-PBE.

Cell lengths 3.1773, 3.1773, 8.1283 Å; angles 90.00, 90.00, 90.00 degrees
Closest atoms and distances in Å follow each position.
Sites, in units of the cell vectors:
U1 0.5000 0.5000 0.0000  4 U 3.18, 8 Hf 3.21
Pt1 0.5000 0.5000 0.5000  8 Hf 2.86, 4 Pt 3.18
Hf1 0.0000 0.0000 0.7180  4 Pt 2.86, 4 Hf 3.18
Hf2 0.0000 0.0000 0.2820  4 Pt 2.86, 4 Hf 3.18

Values from the calculation:
Total moment   0.001 μB per atom
Formation enthalpy at 0 K   -1.4 eV per formula unit
Raw total energy   -9.667 eV per atom
SG   P4/mmm



Record 2
A geometry-optimized KAg2H structure, computed with GGA-PBE.

Cell lengths 5.0301, 5.0301, 5.0301 Å; angles 60.00, 60.00, 60.00 degrees
Closest atoms and distances in Å follow each position.
Sites, in units of the cell vectors:
K1 0.5000 0.5000 0.5000  8 Ag 3.08
Ag1 0.7500 0.7500 0.7500  4 H 3.08, 4 K 3.08
Ag2 0.2500 0.2500 0.2500  4 H 3.08, 4 K 3.08
H1 0.0000 0.0000 0.0000  8 Ag 3.08

Values from the calculation:
Total moment   0.000 μB per atom
Raw total energy   -1.717 eV per atom
SG   Fm-3m



Question: Which value of total moment does entry 2 give?
Answer: 0.000 μB per atom